PrGdGe2Pd4 | OQMD via LeMat-Bulk | PBE-GGA | relaxed; space group = No. 187; energy = -5.720 eV/atom
1.0
4.440 0.000 0.000
-2.220 3.845 0.000
0.000 0.000 9.269
Pr Gd Ge Pd
1 1 2 4
direct
0.000 0.000 0.000 Pr
0.667 0.333 0.500 Gd
0.333 0.667 0.257 Ge
0.333 0.667 0.743 Ge
0.000 0.000 0.333 Pd
0.000 0.000 0.667 Pd
0.667 0.333 0.179 Pd
0.667 0.333 0.821 Pd



TmInHgTe3 | OQMD via LeMat-Bulk | PBE-GGA | relaxed; space group = No. 63; energy = -3.488 eV/atom
1.0
2.177 -8.071 0.000
2.177 8.071 0.000
0.000 0.000 11.792
Tm In Hg Te
2 2 2 6
direct
0.000 0.000 0.000 Tm
0.000 0.000 0.500 Tm
0.445 0.555 0.750 In
0.555 0.445 0.250 In
0.256 0.744 0.250 Hg
0.744 0.256 0.750 Hg
0.065 0.935 0.750 Te
0.368 0.632 0.539 Te
0.368 0.632 0.961 Te
0.632 0.368 0.039 Te
0.632 0.368 0.461 Te
0.935 0.065 0.250 Te



Rb2GePdBr6 | OQMD via LeMat-Bulk | PBE-GGA | relaxed; space group = No. 225; energy = -3.127 eV/atom
1.0
0.000 5.378 5.378
5.378 0.000 5.378
5.378 5.378 0.000
Rb Ge Pd Br
2 1 1 6
direct
0.250 0.250 0.250 Rb
0.750 0.750 0.750 Rb
0.000 0.000 0.000 Ge
0.500 0.500 0.500 Pd
0.252 0.252 0.748 Br
0.252 0.748 0.252 Br
0.252 0.748 0.748 Br
0.748 0.252 0.252 Br
0.748 0.252 0.748 Br
0.748 0.748 0.252 Br



ZrTlCdFe | OQMD via LeMat-Bulk | PBE-GGA | relaxed; space group = No. 216; energy = -4.748 eV/atom
1.0
6.786 0.000 0.000
0.000 6.786 0.000
0.000 0.000 6.786
Zr Tl Cd Fe
4 4 4 4
direct
0.000 0.000 0.000 Zr
0.000 0.500 0.500 Zr
0.500 0.000 0.500 Zr
0.500 0.500 0.000 Zr
0.250 0.250 0.250 Tl
0.250 0.750 0.750 Tl
0.750 0.250 0.750 Tl
0.750 0.750 0.250 Tl
0.250 0.250 0.750 Cd
0.250 0.750 0.250 Cd
0.750 0.250 0.250 Cd
0.750 0.750 0.750 Cd
0.000 0.000 0.500 Fe
0.000 0.500 0.000 Fe
0.500 0.000 0.000 Fe
0.500 0.500 0.500 Fe



CsAlCu | OQMD via LeMat-Bulk | PBE-GGA | relaxed; space group = No. 216; energy = -1.541 eV/atom
1.0
7.988 0.000 0.000
0.000 7.988 0.000
0.000 0.000 7.988
Cs Al Cu
4 4 4
direct
0.000 0.000 0.000 Cs
0.000 0.500 0.500 Cs
0.500 0.000 0.500 Cs
0.500 0.500 0.000 Cs
0.250 0.250 0.750 Al
0.250 0.750 0.250 Al
0.750 0.250 0.250 Al
0.750 0.750 0.750 Al
0.250 0.250 0.250 Cu
0.250 0.750 0.750 Cu
0.750 0.250 0.750 Cu
0.750 0.750 0.250 Cu



Tm3Sb3Mo2N12 | OQMD via LeMat-Bulk | PBE-GGA | relaxed; space group = No. 230; energy = -7.615 eV/atom
1.0
-6.377 6.377 6.377
6.377 -6.377 6.377
6.377 6.377 -6.377
Tm Sb Mo N
12 12 8 48
direct
0.125 0.250 0.375 Tm
0.125 0.375 0.750 Tm
0.250 0.375 0.125 Tm
0.250 0.875 0.625 Tm
0.375 0.125 0.250 Tm
0.375 0.750 0.125 Tm
0.625 0.250 0.875 Tm
0.625 0.875 0.750 Tm
0.750 0.125 0.375 Tm
0.750 0.625 0.875 Tm
0.875 0.625 0.250 Tm
0.875 0.750 0.625 Tm
0.125 0.750 0.875 Sb
0.125 0.875 0.250 Sb
0.250 0.125 0.875 Sb
0.250 0.625 0.375 Sb
0.375 0.250 0.625 Sb
0.375 0.625 0.750 Sb
0.625 0.375 0.250 Sb
0.625 0.750 0.375 Sb
0.750 0.375 0.625 Sb
0.750 0.875 0.125 Sb
0.875 0.125 0.750 Sb
0.875 0.250 0.125 Sb
0.000 0.000 0.000 Mo
0.000 0.000 0.500 Mo
0.000 0.500 0.000 Mo
0.000 0.500 0.500 Mo
0.500 0.000 0.000 Mo
0.500 0.000 0.500 Mo
0.500 0.500 0.000 Mo
0.500 0.500 0.500 Mo
0.033 0.205 0.118 N
0.033 0.327 0.915 N
0.085 0.618 0.412 N
0.085 0.967 0.673 N
0.088 0.705 0.673 N
0.088 0.882 0.415 N
0.118 0.033 0.205 N
0.118 0.585 0.912 N
0.173 0.205 0.588 N
0.173 0.467 0.585 N
0.205 0.118 0.033 N
0.205 0.588 0.173 N
0.295 0.327 0.912 N
0.295 0.467 0.382 N
0.327 0.912 0.295 N
0.327 0.915 0.033 N
0.382 0.295 0.467 N
0.382 0.588 0.915 N
0.412 0.085 0.618 N
0.412 0.827 0.795 N
0.415 0.088 0.882 N
0.415 0.827 0.533 N
0.467 0.382 0.295 N
0.467 0.585 0.173 N
0.533 0.415 0.827 N
0.533 0.618 0.705 N
0.585 0.173 0.467 N
0.585 0.912 0.118 N
0.588 0.173 0.205 N
0.588 0.915 0.382 N
0.618 0.412 0.085 N
0.618 0.705 0.533 N
0.673 0.085 0.967 N
0.673 0.088 0.705 N
0.705 0.533 0.618 N
0.705 0.673 0.088 N
0.795 0.412 0.827 N
0.795 0.882 0.967 N
0.827 0.533 0.415 N
0.827 0.795 0.412 N
0.882 0.415 0.088 N
0.882 0.967 0.795 N
0.912 0.118 0.585 N
0.912 0.295 0.327 N
0.915 0.033 0.327 N
0.915 0.382 0.588 N
0.967 0.673 0.085 N
0.967 0.795 0.882 N



YFeReBi | OQMD via LeMat-Bulk | PBE-GGA | relaxed; space group = No. 216; energy = -7.258 eV/atom
1.0
6.731 0.000 0.000
0.000 6.731 0.000
0.000 0.000 6.731
Y Fe Re Bi
4 4 4 4
direct
0.000 0.000 0.000 Y
0.000 0.500 0.500 Y
0.500 0.000 0.500 Y
0.500 0.500 0.000 Y
0.250 0.250 0.750 Fe
0.250 0.750 0.250 Fe
0.750 0.250 0.250 Fe
0.750 0.750 0.750 Fe
0.250 0.250 0.250 Re
0.250 0.750 0.750 Re
0.750 0.250 0.750 Re
0.750 0.750 0.250 Re
0.000 0.000 0.500 Bi
0.000 0.500 0.000 Bi
0.500 0.000 0.000 Bi
0.500 0.500 0.500 Bi



Cs2Tb2SeS3 | OQMD via LeMat-Bulk | PBE-GGA | relaxed; space group = No. 156; energy = -5.160 eV/atom
1.0
4.156 0.000 0.000
-2.078 3.600 0.000
0.000 0.000 16.256
Cs Tb Se S
2 2 1 3
direct
0.000 0.000 0.000 Cs
0.333 0.667 0.508 Cs
0.667 0.333 0.261 Tb
0.667 0.333 0.755 Tb
0.333 0.667 0.162 Se
0.000 0.000 0.350 S
0.000 0.000 0.665 S
0.333 0.667 0.844 S



HfTlTe2PdSe | OQMD via LeMat-Bulk | PBE-GGA | relaxed; space group = No. 11; energy = -5.260 eV/atom
1.0
8.728 0.000 0.000
0.000 3.860 0.000
-4.171 0.000 9.713
Hf Tl Te Pd Se
2 2 4 2 2
direct
0.190 0.250 0.160 Hf
0.810 0.750 0.840 Hf
0.228 0.750 0.724 Tl
0.772 0.250 0.276 Tl
0.241 0.250 0.449 Te
0.421 0.750 0.131 Te
0.579 0.250 0.869 Te
0.759 0.750 0.551 Te
0.408 0.750 0.383 Pd
0.592 0.250 0.617 Pd
0.044 0.250 0.877 Se
0.956 0.750 0.123 Se



InPt124 | OQMD via LeMat-Bulk | PBE-GGA | relaxed; space group = No. 225; energy = -6.041 eV/atom
1.0
0.000 9.916 9.916
9.916 0.000 9.916
9.916 9.916 0.000
In Pt
1 124
direct
0.000 0.000 0.000 In
0.000 0.000 0.201 Pt
0.000 0.000 0.401 Pt
0.000 0.000 0.599 Pt
0.000 0.000 0.799 Pt
0.000 0.200 0.200 Pt
0.000 0.200 0.400 Pt
0.000 0.200 0.600 Pt
0.000 0.201 0.000 Pt
0.000 0.201 0.799 Pt
0.000 0.400 0.200 Pt
0.000 0.400 0.400 Pt
0.000 0.400 0.800 Pt
0.000 0.401 0.000 Pt
0.000 0.401 0.599 Pt
0.000 0.599 0.000 Pt
0.000 0.599 0.401 Pt
0.000 0.600 0.200 Pt
0.000 0.600 0.600 Pt
0.000 0.600 0.800 Pt
0.000 0.799 0.000 Pt
0.000 0.799 0.201 Pt
0.000 0.800 0.400 Pt
0.000 0.800 0.600 Pt
0.000 0.800 0.800 Pt
0.200 0.000 0.200 Pt
0.200 0.000 0.400 Pt
0.200 0.000 0.600 Pt
0.200 0.200 0.000 Pt
0.200 0.200 0.200 Pt
0.200 0.200 0.400 Pt
0.200 0.200 0.600 Pt
0.200 0.200 0.800 Pt
0.200 0.400 0.000 Pt
0.200 0.400 0.200 Pt
0.200 0.400 0.400 Pt
0.200 0.400 0.600 Pt
0.200 0.400 0.800 Pt
0.200 0.600 0.000 Pt
0.200 0.600 0.200 Pt
0.200 0.600 0.400 Pt
0.200 0.600 0.600 Pt
0.200 0.600 0.800 Pt
0.200 0.800 0.200 Pt
0.200 0.800 0.400 Pt
0.200 0.800 0.600 Pt
0.200 0.800 0.800 Pt
0.201 0.000 0.000 Pt
0.201 0.000 0.799 Pt
0.201 0.799 0.000 Pt
0.400 0.000 0.200 Pt
0.400 0.000 0.400 Pt
0.400 0.000 0.800 Pt
0.400 0.200 0.000 Pt
0.400 0.200 0.200 Pt
0.400 0.200 0.400 Pt
0.400 0.200 0.600 Pt
0.400 0.200 0.800 Pt
0.400 0.400 0.000 Pt
0.400 0.400 0.200 Pt
0.400 0.400 0.400 Pt
0.400 0.400 0.600 Pt
0.400 0.400 0.800 Pt
0.400 0.600 0.200 Pt
0.400 0.600 0.400 Pt
0.400 0.600 0.600 Pt
0.400 0.600 0.800 Pt
0.400 0.800 0.000 Pt
0.400 0.800 0.200 Pt
0.400 0.800 0.400 Pt
0.400 0.800 0.600 Pt
0.400 0.800 0.800 Pt
0.401 0.000 0.000 Pt
0.401 0.000 0.599 Pt
0.401 0.599 0.000 Pt
0.599 0.000 0.000 Pt
0.599 0.000 0.401 Pt
0.599 0.401 0.000 Pt
0.600 0.000 0.200 Pt
0.600 0.000 0.600 Pt
0.600 0.000 0.800 Pt
0.600 0.200 0.000 Pt
0.600 0.200 0.200 Pt
0.600 0.200 0.400 Pt
0.600 0.200 0.600 Pt
0.600 0.200 0.800 Pt
0.600 0.400 0.200 Pt
0.600 0.400 0.400 Pt
0.600 0.400 0.600 Pt
0.600 0.400 0.800 Pt
0.600 0.600 0.000 Pt
0.600 0.600 0.200 Pt
0.600 0.600 0.400 Pt
0.600 0.600 0.600 Pt
0.600 0.600 0.800 Pt
0.600 0.800 0.000 Pt
0.600 0.800 0.200 Pt
0.600 0.800 0.400 Pt
0.600 0.800 0.600 Pt
0.600 0.800 0.800 Pt
0.799 0.000 0.000 Pt
0.799 0.000 0.201 Pt
0.799 0.201 0.000 Pt
0.800 0.000 0.400 Pt
0.800 0.000 0.600 Pt
0.800 0.000 0.800 Pt
0.800 0.200 0.200 Pt
0.800 0.200 0.400 Pt
0.800 0.200 0.600 Pt
0.800 0.200 0.800 Pt
0.800 0.400 0.000 Pt
0.800 0.400 0.200 Pt
0.800 0.400 0.400 Pt
0.800 0.400 0.600 Pt
0.800 0.400 0.800 Pt
0.800 0.600 0.000 Pt
0.800 0.600 0.200 Pt
0.800 0.600 0.400 Pt
0.800 0.600 0.600 Pt
0.800 0.600 0.800 Pt
0.800 0.800 0.000 Pt
0.800 0.800 0.200 Pt
0.800 0.800 0.400 Pt
0.800 0.800 0.600 Pt
0.800 0.800 0.800 Pt



CsCdPO | OQMD via LeMat-Bulk | PBE-GGA | relaxed; space group = No. 26; energy = -3.392 eV/atom
1.0
3.508 0.000 0.000
0.000 9.540 0.000
0.000 0.000 5.909
Cs Cd P O
2 2 2 2
direct
0.000 0.154 0.000 Cs
0.000 0.846 0.500 Cs
0.500 0.273 0.500 Cd
0.500 0.727 0.000 Cd
0.500 0.497 0.761 P
0.500 0.503 0.261 P
0.000 0.143 0.500 O
0.000 0.857 0.000 O



Y3Cd2InCu2Ag | OQMD via LeMat-Bulk | PBE-GGA | relaxed; space group = No. 38; energy = -4.148 eV/atom
1.0
3.879 0.000 0.000
0.000 6.658 3.852
0.000 -6.658 3.852
Y Cd In Cu Ag
3 2 1 2 1
direct
0.000 0.000 0.000 Y
0.000 0.183 0.596 Y
0.000 0.596 0.183 Y
0.500 0.593 0.862 Cd
0.500 0.862 0.593 Cd
0.500 0.325 0.325 In
0.500 0.260 0.928 Cu
0.500 0.928 0.260 Cu
0.000 0.593 0.593 Ag



GdEr2Fe6Ni3 | OQMD via LeMat-Bulk | PBE-GGA | relaxed; space group = No. 166; energy = -6.862 eV/atom; formation energy from the elements = -0.168 eV per atom
1.0
2.493 1.439 8.253
-2.493 1.439 8.253
0.000 -2.878 8.253
Gd Er Fe Ni
1 2 6 3
direct
0.000 0.000 0.000 Gd
0.142 0.142 0.142 Er
0.858 0.858 0.858 Er
0.079 0.584 0.584 Fe
0.416 0.416 0.921 Fe
0.416 0.921 0.416 Fe
0.584 0.079 0.584 Fe
0.584 0.584 0.079 Fe
0.921 0.416 0.416 Fe
0.333 0.333 0.333 Ni
0.500 0.500 0.500 Ni
0.667 0.667 0.667 Ni



TmSnAuS3 | OQMD via LeMat-Bulk | PBE-GGA | relaxed; space group = No. 63; energy = -5.036 eV/atom
1.0
2.007 -7.080 0.000
2.007 7.080 0.000
0.000 0.000 10.220
Tm Sn Au S
2 2 2 6
direct
0.000 0.000 0.000 Tm
0.000 0.000 0.500 Tm
0.309 0.691 0.750 Sn
0.691 0.309 0.250 Sn
0.348 0.652 0.250 Au
0.652 0.348 0.750 Au
0.061 0.939 0.250 S
0.371 0.629 0.022 S
0.371 0.629 0.478 S
0.629 0.371 0.522 S
0.629 0.371 0.978 S
0.939 0.061 0.750 S